Record 1
# Tm2InCo

Tm2InCo after structural relaxation (PBE, the Alexandria database).

a b c (Å): 5.012 5.012 5.012
angles (deg): 60.00 60.00 60.00
Positions (direct):
Tm1 0.250 0.250 0.250
Tm2 0.750 0.750 0.750
In1 0.000 0.000 0.000
Co1 0.500 0.500 0.500

Summary:
SG ... Fm-3m
ρ ... 9.54 g/cm³
Total magnetization ... 1.205 μB/f.u.
Relative energy among the computed polymorphs ... 131 meV per atom
Formation energy from the elements ... -0.220 eV/atom



Record 2
# TcSnP

TcSnP after structural relaxation (PBE, the Alexandria database).

a b c (Å): 3.269 6.350 5.295
angles (deg): 90.00 90.00 90.00
Positions (direct):
Tc1 0.000 0.228 0.000
Tc2 0.500 0.772 0.500
Sn1 0.000 0.403 0.501
Sn2 0.500 0.597 0.001
P1 0.000 0.958 0.711
P2 0.500 0.042 0.211

Summary:
SG ... Pmn2_1
ρ ... 7.48 g/cm³
Total magnetization ... 0.000 μB/f.u.
Relative energy among the computed polymorphs ... 58 meV per atom
Formation energy from the elements ... -0.224 eV/atom



Record 3
# MgOsBr

MgOsBr after structural relaxation (PBE, the Alexandria database).

a b c (Å): 6.311 6.311 6.311
angles (deg): 151.87 151.87 40.21
Positions (direct):
Mg1 0.000 0.000 0.000
Os1 0.643 0.643 0.000
Br1 0.301 0.301 0.000

Summary:
SG ... I4mm
E_form (uncorrected) ... 668 meV/atom
ρ ... 8.76 g/cm³
Total magnetization ... 0.800 μB/f.u.
Relative energy among the computed polymorphs ... 117 meV per atom



Record 4
# MnFe3Co3

MnFe3Co3 after structural relaxation (PBE, the Alexandria database).

a b c (Å): 6.279 6.279 6.279
angles (deg): 59.94 59.94 59.94
Positions (direct):
Mn1 0.149 0.149 0.149
Mn2 0.851 0.851 0.851
Fe1 0.064 0.235 0.555
Fe2 0.235 0.555 0.064
Fe3 0.445 0.936 0.765
Fe4 0.555 0.064 0.235
Fe5 0.765 0.445 0.936
Fe6 0.936 0.765 0.445
Co1 0.217 0.413 0.683
Co2 0.317 0.783 0.587
Co3 0.413 0.683 0.217
Co4 0.587 0.317 0.783
Co5 0.683 0.217 0.413
Co6 0.783 0.587 0.317

Summary:
SG ... R-3
ρ ... 7.58 g/cm³
Total magnetization ... 16.261 μB/f.u.
Formation energy from the elements ... 0.270 eV/atom



Record 5
# BaTaCd2

BaTaCd2 after structural relaxation (PBE, the Alexandria database).

a b c (Å): 5.701 5.701 3.109
angles (deg): 90.00 90.00 90.00
Positions (direct):
Ba1 0.000 0.000 0.000
Ta1 0.500 0.500 0.000
Cd1 0.000 0.500 0.500
Cd2 0.500 0.000 0.500

Summary:
SG ... P4/mmm
ρ ... 8.92 g/cm³
Total magnetization ... 0.023 μB/f.u.
Relative energy among the computed polymorphs ... 255 meV per atom
Formation energy from the elements ... 0.575 eV/atom



Record 6
# Sr2ScC2

Sr2ScC2 after structural relaxation (PBE, the Alexandria database).

a b c (Å): 6.374 6.374 6.374
angles (deg): 139.88 139.88 58.04
Positions (direct):
Sr1 0.250 0.750 0.500
Sr2 0.750 0.250 0.500
Sc1 0.000 0.000 0.000
C1 0.440 0.440 0.000
C2 0.560 0.560 0.000

Summary:
SG ... I4/mmm
ρ ... 3.81 g/cm³
Total magnetization ... 0.002 μB/f.u.
Relative energy among the computed polymorphs ... 3 meV per atom
Formation energy from the elements ... 0.743 eV/atom



Record 7
# Pr8AlSb2

Pr8AlSb2 after structural relaxation (PBE, the Alexandria database).

a b c (Å): 10.255 10.255 7.156
angles (deg): 101.08 101.08 29.16
Positions (direct):
Pr1 0.016 0.016 0.270
Pr2 0.217 0.217 0.838
Pr3 0.341 0.341 0.481
Pr4 0.408 0.408 0.016
Pr5 0.592 0.592 0.984
Pr6 0.659 0.659 0.519
Pr7 0.783 0.783 0.162
Pr8 0.984 0.984 0.730
Al1 0.500 0.500 0.500
Sb1 0.179 0.179 0.264
Sb2 0.821 0.821 0.736

Summary:
SG ... C2/m
E_form (uncorrected) ... -418 meV/atom
ρ ... 6.46 g/cm³
Total magnetization ... 0.001 μB/f.u.



Record 8
# Ca2P2Pd5

Ca2P2Pd5 after structural relaxation (PBE, the Alexandria database).

a b c (Å): 4.189 4.189 8.754
angles (deg): 90.00 90.00 90.00
Positions (direct):
Ca1 0.000 0.000 0.000
Ca2 0.000 0.000 0.500
P1 0.500 0.500 0.126
P2 0.500 0.500 0.874
Pd1 0.000 0.500 0.261
Pd2 0.000 0.500 0.739
Pd3 0.500 0.000 0.261
Pd4 0.500 0.000 0.739
Pd5 0.500 0.500 0.500

Summary:
SG ... P4/mmm
ρ ... 7.29 g/cm³
Total magnetization ... 0.000 μB/f.u.
Formation energy from the elements ... -0.802 eV/atom



Number 3 is which compound?
MgOsBr



Which of these has the highest ρ?
Tm2InCo